(1)
RbNa4Sn: optimized geometry, GGA-PBE.

abc: 9.937 9.937 9.937
angles: 132.87 132.87 68.86
Fractional coordinates of all 12 atoms:
1 Rb 0.000 0.000 0.000
2 Rb 0.500 0.500 0.000
3 Na 0.002 0.502 0.165
4 Na 0.163 0.998 0.500
5 Na 0.337 0.837 0.835
6 Na 0.498 0.663 0.500
7 Na 0.502 0.337 0.500
8 Na 0.663 0.163 0.165
9 Na 0.837 0.002 0.500
10 Na 0.998 0.498 0.835
11 Sn 0.250 0.250 0.000
12 Sn 0.750 0.750 0.000

Summary:
Energy above the most stable polymorph in this dataset in meV/atom: 19
Energy of formation in meV per atom: -57
Total moment in μB per atom: 0.06
Volume in Å³ per atom: 43.13

---

(2)
Na3Cd2HgAu3: optimized geometry, GGA-PBE.

abc: 8.645 8.645 2.902
angles: 90.00 90.00 120.00
Fractional coordinates of all 9 atoms:
1 Na 0.000 0.694 0.000
2 Na 0.306 0.306 0.000
3 Na 0.694 0.000 0.000
4 Cd 0.333 0.667 0.000
5 Cd 0.667 0.333 0.000
6 Hg 0.000 0.000 0.500
7 Au 0.000 0.372 0.500
8 Au 0.372 0.000 0.500
9 Au 0.628 0.628 0.500

Summary:
Energy of formation in meV per atom: -211
Total moment in μB per atom: 0.00
Volume in Å³ per atom: 20.87

---

(3)
NbZnNi: optimized geometry, GGA-PBE.

abc: 7.317 7.317 3.419
angles: 90.00 90.00 90.00
Fractional coordinates of all 12 atoms:
1 Nb 0.057 0.780 0.000
2 Nb 0.220 0.057 0.500
3 Nb 0.780 0.943 0.500
4 Nb 0.943 0.220 0.000
5 Zn 0.354 0.357 0.000
6 Zn 0.357 0.646 0.500
7 Zn 0.643 0.354 0.500
8 Zn 0.646 0.643 0.000
9 Ni 0.125 0.407 0.500
10 Ni 0.407 0.875 0.000
11 Ni 0.593 0.125 0.000
12 Ni 0.875 0.593 0.500

Summary:
Energy of formation in meV per atom: 36
Total moment in μB per atom: 0.00
Volume in Å³ per atom: 15.25

---

(4)
SmHfNb: optimized geometry, GGA-PBE.

abc: 15.399 15.399 15.399
angles: 12.35 12.35 12.35
Fractional coordinates of all 6 atoms:
1 Sm 0.131 0.131 0.131
2 Sm 0.869 0.869 0.869
3 Hf 0.404 0.404 0.404
4 Hf 0.596 0.596 0.596
5 Nb 0.312 0.312 0.312
6 Nb 0.688 0.688 0.688

Summary:
Energy of formation in meV per atom: 256
Total moment in μB per atom: 0.00
Volume in Å³ per atom: 24.22

---

(5)
La4Sm2Er: optimized geometry, GGA-PBE.

abc: 6.375 8.205 9.713
angles: 85.53 77.31 82.67
Fractional coordinates of all 14 atoms:
1 La 0.000 0.000 0.000
2 La 0.066 0.856 0.358
3 La 0.358 0.287 0.781
4 La 0.425 0.144 0.145
5 La 0.572 0.856 0.854
6 La 0.640 0.711 0.215
7 La 0.712 0.571 0.570
8 La 0.786 0.427 0.928
9 Sm 0.208 0.570 0.070
10 Sm 0.282 0.427 0.428
11 Sm 0.496 0.001 0.500
12 Sm 0.931 0.140 0.639
13 Er 0.143 0.714 0.712
14 Er 0.855 0.287 0.289

Summary:
Energy above the most stable polymorph in this dataset in meV/atom: 0
Energy of formation in meV per atom: 21
Total moment in μB per atom: 0.00
Volume in Å³ per atom: 35.07

---

(6)
CeAs3Pd3: optimized geometry, GGA-PBE.

abc: 7.860 7.860 7.860
angles: 54.24 54.24 54.24
Fractional coordinates of all 14 atoms:
1 Ce 0.167 0.167 0.167
2 Ce 0.833 0.833 0.833
3 As 0.090 0.741 0.416
4 As 0.259 0.584 0.910
5 As 0.416 0.090 0.741
6 As 0.584 0.910 0.259
7 As 0.741 0.416 0.090
8 As 0.910 0.259 0.584
9 Pd 0.043 0.376 0.712
10 Pd 0.288 0.957 0.624
11 Pd 0.376 0.712 0.043
12 Pd 0.624 0.288 0.957
13 Pd 0.712 0.043 0.376
14 Pd 0.957 0.624 0.288

Summary:
Energy of formation in meV per atom: -616
Total moment in μB per atom: 0.00
Volume in Å³ per atom: 21.23

---

Number 5 is which compound? La4Sm2Er